[1]
YEr2Pb2 | PBE | relaxed Values from VASP.

## Properties
As for the space-group type: C2/m, No. 12. The total energy is -4.8057 eV/atom. The value obtained for the density of states at the Fermi level is 1.105 states/eV per atom. Its volume is 150.36 Å³/cell. The formation energy is -0.204 eV per atom.

Geometry as Quantum ESPRESSO input:
```
&SYSTEM
  ibrav = 0, nat = 5, ntyp = 3
/
ATOMIC_SPECIES
Y 88.91 Y.upf
Er 167.26 Er.upf
Pb 207.20 Pb.upf
CELL_PARAMETERS angstrom
3.2408 -3.2292 0.0000
3.2408 3.2292 0.0000
-3.0946 0.0000 7.1838
ATOMIC_POSITIONS crystal
Y 0.0000 0.0000 0.0000
Er 0.2507 0.7493 0.5000
Er 0.7493 0.2507 0.5000
Pb 0.3896 0.3896 0.7974
Pb 0.6104 0.6104 0.2026
```

=====

[2]
YErPb | PBE | relaxed Values from VASP.

## Properties
As for the space-group type: I4mm, No. 107. The total energy is -5.1936 eV/atom. The value obtained for the density of states at the Fermi level is 0.764 states/eV per atom. Its volume is 88.02 Å³/cell. The formation energy is -0.282 eV per atom.

Geometry as Quantum ESPRESSO input:
```
&SYSTEM
  ibrav = 0, nat = 3, ntyp = 3
/
ATOMIC_SPECIES
Y 88.91 Y.upf
Er 167.26 Er.upf
Pb 207.20 Pb.upf
CELL_PARAMETERS angstrom
-1.9617 1.9617 5.7187
1.9617 -1.9617 5.7187
1.9617 1.9617 -5.7187
ATOMIC_POSITIONS crystal
Y 0.0000 0.0000 0.0000
Er 0.6875 0.6875 0.0000
Pb 0.3412 0.3412 0.0000
```

=====

[3]
Y3ErPb2 | PBE | relaxed Values from VASP.

## Properties
As for the space-group type: P-4m2, No. 115. The total energy is -5.6820 eV/atom. The value obtained for the density of states at the Fermi level is 0.663 states/eV per atom. Its volume is 178.26 Å³/cell. The value obtained for the energy above the most stable polymorph in this dataset is 0 meV/atom. The formation energy is -0.453 eV per atom.

Geometry as Quantum ESPRESSO input:
```
&SYSTEM
  ibrav = 0, nat = 6, ntyp = 3
/
ATOMIC_SPECIES
Y 88.91 Y.upf
Er 167.26 Er.upf
Pb 207.20 Pb.upf
CELL_PARAMETERS angstrom
4.5679 0.0000 0.0000
0.0000 4.5679 0.0000
0.0000 0.0000 8.5433
ATOMIC_POSITIONS crystal
Y 0.0000 0.0000 0.0000
Y 0.0000 0.5000 0.6572
Y 0.5000 0.0000 0.3428
Er 0.5000 0.5000 0.0000
Pb 0.0000 0.5000 0.2828
Pb 0.5000 0.0000 0.7172
```

=====

[4]
YEr2Pb | PBE | relaxed Values from VASP.

## Properties
As for the space-group type: P4/mmm, No. 123. The total energy is -5.0867 eV/atom. The value obtained for the density of states at the Fermi level is 1.341 states/eV per atom. Its volume is 113.48 Å³/cell. The value obtained for the energy above the most stable polymorph in this dataset is 45 meV/atom. The formation energy is -0.262 eV per atom.

Geometry as Quantum ESPRESSO input:
```
&SYSTEM
  ibrav = 0, nat = 4, ntyp = 3
/
ATOMIC_SPECIES
Y 88.91 Y.upf
Er 167.26 Er.upf
Pb 207.20 Pb.upf
CELL_PARAMETERS angstrom
4.8319 0.0000 0.0000
0.0000 4.8319 0.0000
0.0000 0.0000 4.8606
ATOMIC_POSITIONS crystal
Y 0.0000 0.0000 0.0000
Er 0.0000 0.5000 0.5000
Er 0.5000 0.0000 0.5000
Pb 0.5000 0.5000 0.0000
```

=====

[5]
YErPb | PBE | relaxed Values from VASP.

## Properties
As for the space-group type: P3m1, No. 156. The total energy is -5.1187 eV/atom. The value obtained for the density of states at the Fermi level is 1.436 states/eV per atom. Its volume is 90.05 Å³/cell. The formation energy is -0.207 eV per atom.

Geometry as Quantum ESPRESSO input:
```
&SYSTEM
  ibrav = 0, nat = 3, ntyp = 3
/
ATOMIC_SPECIES
Y 88.91 Y.upf
Er 167.26 Er.upf
Pb 207.20 Pb.upf
CELL_PARAMETERS angstrom
5.2833 0.0000 0.0000
-2.6417 4.5755 0.0000
0.0000 0.0000 3.7250
ATOMIC_POSITIONS crystal
Y 0.0000 0.0000 0.0000
Er 0.3333 0.6667 0.4662
Pb 0.6667 0.3333 0.7044
```

=====

[6]
Y3ErPb5 | PBE | relaxed Values from VASP.

## Properties
As for the space-group type: P6_3/mcm, No. 193. The total energy is -5.1454 eV/atom. The value obtained for the density of states at the Fermi level is 0.923 states/eV per atom. Its volume is 515.67 Å³/cell. The formation energy is -0.424 eV per atom.

Geometry as Quantum ESPRESSO input:
```
&SYSTEM
  ibrav = 0, nat = 18, ntyp = 3
/
ATOMIC_SPECIES
Y 88.91 Y.upf
Er 167.26 Er.upf
Pb 207.20 Pb.upf
CELL_PARAMETERS angstrom
9.5518 0.0000 0.0000
-4.7759 8.2721 0.0000
0.0000 0.0000 6.5264
ATOMIC_POSITIONS crystal
Y 0.0000 0.3817 0.2500
Y 0.0000 0.6183 0.7500
Y 0.3817 0.0000 0.2500
Y 0.3817 0.3817 0.7500
Y 0.6183 0.0000 0.7500
Y 0.6183 0.6183 0.2500
Er 0.0000 0.0000 0.0000
Er 0.0000 0.0000 0.5000
Pb 0.0000 0.2862 0.7500
Pb 0.0000 0.7138 0.2500
Pb 0.2862 0.0000 0.7500
Pb 0.2862 0.2862 0.2500
Pb 0.3333 0.6667 0.0000
Pb 0.3333 0.6667 0.5000
Pb 0.6667 0.3333 0.0000
Pb 0.6667 0.3333 0.5000
Pb 0.7138 0.0000 0.2500
Pb 0.7138 0.7138 0.7500
```

=====

[7]
YErPb2 | PBE | relaxed Values from VASP.

## Properties
As for the space-group type: C2/c, No. 15. The total energy is -5.0534 eV/atom. The value obtained for the density of states at the Fermi level is 0.657 states/eV per atom. Its volume is 465.69 Å³/cell. The formation energy is -0.443 eV per atom.

Geometry as Quantum ESPRESSO input:
```
&SYSTEM
  ibrav = 0, nat = 16, ntyp = 3
/
ATOMIC_SPECIES
Y 88.91 Y.upf
Er 167.26 Er.upf
Pb 207.20 Pb.upf
CELL_PARAMETERS angstrom
4.3024 -9.4933 0.0000
4.3024 9.4933 0.0000
-1.3098 0.0000 5.7008
ATOMIC_POSITIONS crystal
Y 0.0636 0.9364 0.7500
Y 0.3118 0.6882 0.7500
Y 0.6882 0.3118 0.2500
Y 0.9364 0.0636 0.2500
Er 0.1868 0.8132 0.2500
Er 0.4387 0.5613 0.2500
Er 0.5613 0.4387 0.7500
Er 0.8132 0.1868 0.7500
Pb 0.0654 0.4404 0.2451
Pb 0.1876 0.3126 0.7537
Pb 0.3126 0.1876 0.2537
Pb 0.4404 0.0654 0.7451
Pb 0.5596 0.9346 0.2549
Pb 0.6874 0.8124 0.7463
Pb 0.8124 0.6874 0.2463
Pb 0.9346 0.5596 0.7549
```

=====

[8]
YEr2Pb | PBE | relaxed Values from VASP.

## Properties
As for the space-group type: R-3m, No. 166. The total energy is -4.7686 eV/atom. The value obtained for the density of states at the Fermi level is 1.120 states/eV per atom. Its volume is 128.47 Å³/cell. The value obtained for the energy above the most stable polymorph in this dataset is 363 meV/atom. The formation energy is 0.056 eV per atom.

Geometry as Quantum ESPRESSO input:
```
&SYSTEM
  ibrav = 0, nat = 4, ntyp = 3
/
ATOMIC_SPECIES
Y 88.91 Y.upf
Er 167.26 Er.upf
Pb 207.20 Pb.upf
CELL_PARAMETERS angstrom
1.7616 1.0170 11.9518
-1.7616 1.0170 11.9518
0.0000 -2.0341 11.9518
ATOMIC_POSITIONS crystal
Y 0.0000 0.0000 0.0000
Er 0.4121 0.4121 0.4121
Er 0.5879 0.5879 0.5879
Pb 0.5000 0.5000 0.5000
```

=====

[9]
YErPb2 | PBE | relaxed Values from VASP.

## Properties
As for the space-group type: Pm, No. 6. The total energy is -5.0846 eV/atom. The value obtained for the density of states at the Fermi level is 0.592 states/eV per atom. Its volume is 115.99 Å³/cell. The formation energy is -0.474 eV per atom.

Geometry as Quantum ESPRESSO input:
```
&SYSTEM
  ibrav = 0, nat = 4, ntyp = 3
/
ATOMIC_SPECIES
Y 88.91 Y.upf
Er 167.26 Er.upf
Pb 207.20 Pb.upf
CELL_PARAMETERS angstrom
4.4840 0.0000 0.0000
0.0000 4.4421 0.0000
-2.2375 0.0000 5.8233
ATOMIC_POSITIONS crystal
Y 0.0000 0.0000 0.0000
Er 0.2560 0.5000 0.5164
Pb 0.5273 0.5000 0.0540
Pb 0.7283 0.0000 0.4615
```

=====

[10]
Y3Er5Pb12 | PBE | relaxed Values from VASP.

## Properties
As for the space-group type: Ia-3d, No. 230. The total energy is -4.2458 eV/atom. The value obtained for the density of states at the Fermi level is 0.461 states/eV per atom. Its volume is 2957.53 Å³/cell. The formation energy is 0.090 eV per atom.

Geometry as Quantum ESPRESSO input:
```
&SYSTEM
  ibrav = 0, nat = 80, ntyp = 3
/
ATOMIC_SPECIES
Y 88.91 Y.upf
Er 167.26 Er.upf
Pb 207.20 Pb.upf
CELL_PARAMETERS angstrom
-9.0425 9.0425 9.0425
9.0425 -9.0425 9.0425
9.0425 9.0425 -9.0425
ATOMIC_POSITIONS crystal
Y 0.1250 0.2500 0.3750
Y 0.1250 0.3750 0.7500
Y 0.2500 0.3750 0.1250
Y 0.2500 0.8750 0.6250
Y 0.3750 0.1250 0.2500
Y 0.3750 0.7500 0.1250
Y 0.6250 0.2500 0.8750
Y 0.6250 0.8750 0.7500
Y 0.7500 0.1250 0.3750
Y 0.7500 0.6250 0.8750
Y 0.8750 0.6250 0.2500
Y 0.8750 0.7500 0.6250
Er 0.0000 0.0000 0.0000
Er 0.0000 0.0000 0.5000
Er 0.0000 0.5000 0.0000
Er 0.0000 0.5000 0.5000
Er 0.1250 0.7500 0.8750
Er 0.1250 0.8750 0.2500
Er 0.2500 0.1250 0.8750
Er 0.2500 0.6250 0.3750
Er 0.3750 0.2500 0.6250
Er 0.3750 0.6250 0.7500
Er 0.5000 0.0000 0.0000
Er 0.5000 0.0000 0.5000
Er 0.5000 0.5000 0.0000
Er 0.5000 0.5000 0.5000
Er 0.6250 0.3750 0.2500
Er 0.6250 0.7500 0.3750
Er 0.7500 0.3750 0.6250
Er 0.7500 0.8750 0.1250
Er 0.8750 0.1250 0.7500
Er 0.8750 0.2500 0.1250
Pb 0.0708 0.2340 0.1463
Pb 0.0708 0.3368 0.9244
Pb 0.0756 0.6463 0.4124
Pb 0.0756 0.9292 0.6632
Pb 0.0876 0.7340 0.6632
Pb 0.0876 0.8537 0.4244
Pb 0.1463 0.0708 0.2340
Pb 0.1463 0.5756 0.9124
Pb 0.1632 0.2340 0.5876
Pb 0.1632 0.4292 0.5756
Pb 0.2340 0.1463 0.0708
Pb 0.2340 0.5876 0.1632
Pb 0.2660 0.3368 0.9124
Pb 0.2660 0.4292 0.3537
Pb 0.3368 0.9124 0.2660
Pb 0.3368 0.9244 0.0708
Pb 0.3537 0.2660 0.4292
Pb 0.3537 0.5876 0.9244
Pb 0.4124 0.0756 0.6463
Pb 0.4124 0.8368 0.7660
Pb 0.4244 0.0876 0.8537
Pb 0.4244 0.8368 0.5708
Pb 0.4292 0.3537 0.2660
Pb 0.4292 0.5756 0.1632
Pb 0.5708 0.4244 0.8368
Pb 0.5708 0.6463 0.7340
Pb 0.5756 0.1632 0.4292
Pb 0.5756 0.9124 0.1463
Pb 0.5876 0.1632 0.2340
Pb 0.5876 0.9244 0.3537
Pb 0.6463 0.4124 0.0756
Pb 0.6463 0.7340 0.5708
Pb 0.6632 0.0756 0.9292
Pb 0.6632 0.0876 0.7340
Pb 0.7340 0.5708 0.6463
Pb 0.7340 0.6632 0.0876
Pb 0.7660 0.4124 0.8368
Pb 0.7660 0.8537 0.9292
Pb 0.8368 0.5708 0.4244
Pb 0.8368 0.7660 0.4124
Pb 0.8537 0.4244 0.0876
Pb 0.8537 0.9292 0.7660
Pb 0.9124 0.1463 0.5756
Pb 0.9124 0.2660 0.3368
Pb 0.9244 0.0708 0.3368
Pb 0.9244 0.3537 0.5876
Pb 0.9292 0.6632 0.0756
Pb 0.9292 0.7660 0.8537
```

=====

[11]
YErPb2 | PBE | relaxed Values from VASP.

## Properties
As for the space-group type: P4/mmm, No. 123. The total energy is -5.0382 eV/atom. The value obtained for the density of states at the Fermi level is 0.762 states/eV per atom. Its volume is 111.89 Å³/cell. The formation energy is -0.427 eV per atom.

Geometry as Quantum ESPRESSO input:
```
&SYSTEM
  ibrav = 0, nat = 4, ntyp = 3
/
ATOMIC_SPECIES
Y 88.91 Y.upf
Er 167.26 Er.upf
Pb 207.20 Pb.upf
CELL_PARAMETERS angstrom
3.5460 0.0000 0.0000
0.0000 3.5460 0.0000
0.0000 0.0000 8.8983
ATOMIC_POSITIONS crystal
Y 0.0000 0.0000 0.0000
Er 0.0000 0.0000 0.5000
Pb 0.5000 0.5000 0.2523
Pb 0.5000 0.5000 0.7477
```

=====

[12]
Y3ErPb4 | PBE | relaxed Values from VASP.

## Properties
As for the space-group type: Pmna, No. 53. The total energy is -5.3095 eV/atom. The value obtained for the density of states at the Fermi level is 0.625 states/eV per atom. Its volume is 457.73 Å³/cell. The formation energy is -0.461 eV per atom.

Geometry as Quantum ESPRESSO input:
```
&SYSTEM
  ibrav = 0, nat = 16, ntyp = 3
/
ATOMIC_SPECIES
Y 88.91 Y.upf
Er 167.26 Er.upf
Pb 207.20 Pb.upf
CELL_PARAMETERS angstrom
11.1703 0.0000 0.0000
0.0000 6.4010 0.0000
0.0000 0.0000 6.4017
ATOMIC_POSITIONS crystal
Y 0.0000 0.0000 0.0000
Y 0.2500 0.2521 0.2500
Y 0.2500 0.7479 0.7500
Y 0.5000 0.0000 0.5000
Y 0.7500 0.2521 0.2500
Y 0.7500 0.7479 0.7500
Er 0.0000 0.5000 0.5000
Er 0.5000 0.5000 0.0000
Pb 0.0000 0.0000 0.5000
Pb 0.0000 0.5000 0.0000
Pb 0.2500 0.2486 0.7500
Pb 0.2500 0.7514 0.2500
Pb 0.5000 0.0000 0.0000
Pb 0.5000 0.5000 0.5000
Pb 0.7500 0.2486 0.7500
Pb 0.7500 0.7514 0.2500
```

=====

Question: formation energy of number 10 (Y3Er5Pb12)?
Answer: 0.090 eV per atom

=====

Question: Which of these has the lowest volume?
Answer: number 2